(1)
First-principles (PBE) data for a geometry-optimized InTe2Os structure, as listed in Alexandria via LeMat-Bulk.

Cell and atoms, written as CIF:
```
data_InTe2Os
_chemical_formula_sum 'In1 Te2 Os1'
_cell_length_a 4.389
_cell_length_b 3.200
_cell_length_c 8.170
_cell_angle_alpha 90.00
_cell_angle_beta 105.50
_cell_angle_gamma 90.00
_symmetry_space_group_name_H-M 'P 1 m 1'
_symmetry_Int_Tables_number 6
_symmetry_space_group_name_Hall 'P -2y'
loop_
_atom_site_label
_atom_site_fract_x
_atom_site_fract_y
_atom_site_fract_z
_atom_site_occupancy
In1 0.000 0.000 0.000 1
Te1 0.339 0.000 0.677 1
Te2 0.646 0.500 0.290 1
Os1 0.473 0.500 0.945 1
```

Properties
* formation energy without anion corrections: 66.2 kJ/mol of formula units
* DFT total energy: -4.891 eV/atom


(2)
First-principles (PBE) data for a geometry-optimized In2TeOs structure, as listed in Alexandria via LeMat-Bulk.

Cell and atoms, written as CIF:
```
data_In2TeOs
_chemical_formula_sum 'In4 Te2 Os2'
_cell_length_a 3.175
_cell_length_b 4.574
_cell_length_c 13.117
_cell_angle_alpha 90.00
_cell_angle_beta 90.00
_cell_angle_gamma 90.00
_symmetry_space_group_name_H-M 'I m m m'
_symmetry_Int_Tables_number 71
_symmetry_space_group_name_Hall '-I 2 2'
loop_
_atom_site_label
_atom_site_fract_x
_atom_site_fract_y
_atom_site_fract_z
_atom_site_occupancy
In1 0.000 0.000 0.184 1
Te1 0.000 0.500 0.000 1
Os1 0.000 0.500 0.500 1
```

Properties
* formation energy without anion corrections: 172.0 kJ/mol of formula units
* DFT total energy: -4.516 eV/atom


(3)
First-principles (PBE) data for a geometry-optimized InTe2Os structure, as listed in Alexandria via LeMat-Bulk.

Cell and atoms, written as CIF:
```
data_InTe2Os
_chemical_formula_sum 'In2 Te4 Os2'
_cell_length_a 3.194
_cell_length_b 4.800
_cell_length_c 12.799
_cell_angle_alpha 90.00
_cell_angle_beta 90.00
_cell_angle_gamma 90.00
_symmetry_space_group_name_H-M 'I m m 2'
_symmetry_Int_Tables_number 44
_symmetry_space_group_name_Hall 'I 2 -2'
loop_
_atom_site_label
_atom_site_fract_x
_atom_site_fract_y
_atom_site_fract_z
_atom_site_occupancy
In1 0.000 0.000 0.000 1
Te1 0.000 0.000 0.364 1
Te2 0.000 0.500 0.163 1
Os1 0.000 0.500 0.697 1
```

Properties
* formation energy without anion corrections: 153.1 kJ/mol of formula units
* DFT total energy: -4.666 eV/atom


(4)
First-principles (PBE) data for a geometry-optimized InTe2Os structure, as listed in Alexandria via LeMat-Bulk.

Cell and atoms, written as CIF:
```
data_InTe2Os
_chemical_formula_sum 'In2 Te4 Os2'
_cell_length_a 3.214
_cell_length_b 4.655
_cell_length_c 13.647
_cell_angle_alpha 90.00
_cell_angle_beta 90.00
_cell_angle_gamma 90.00
_symmetry_space_group_name_H-M 'I m m m'
_symmetry_Int_Tables_number 71
_symmetry_space_group_name_Hall '-I 2 2'
loop_
_atom_site_label
_atom_site_fract_x
_atom_site_fract_y
_atom_site_fract_z
_atom_site_occupancy
In1 0.000 0.000 0.000 1
Te1 0.000 0.500 0.166 1
Os1 0.000 0.000 0.500 1
```

Properties
* formation energy without anion corrections: 106.3 kJ/mol of formula units
* DFT total energy: -4.787 eV/atom


Which formula does entry 1 have? InTe2Os


Look up the formation energy without anion corrections of the fourth one. 106.3 kJ/mol of formula units


Which of these has the highest DFT total energy? In2TeOs